VASP calculation (GGA-PBE) on RbAg2Rh after structural relaxation.

Cell: 7.0910 7.0910 7.0910 Å, 90.00 90.00 90.00°
Element x y z (fractional)
Rb (0.0000, 0.0000, 0.0000)
Rb (0.0000, 0.5000, 0.5000)
Rb (0.5000, 0.0000, 0.5000)
Rb (0.5000, 0.5000, 0.0000)
Ag (0.2500, 0.2500, 0.2500)
Ag (0.2500, 0.2500, 0.7500)
Ag (0.2500, 0.7500, 0.2500)
Ag (0.2500, 0.7500, 0.7500)
Ag (0.7500, 0.2500, 0.2500)
Ag (0.7500, 0.2500, 0.7500)
Ag (0.7500, 0.7500, 0.2500)
Ag (0.7500, 0.7500, 0.7500)
Rh (0.0000, 0.0000, 0.5000)
Rh (0.0000, 0.5000, 0.0000)
Rh (0.5000, 0.0000, 0.0000)
Rh (0.5000, 0.5000, 0.5000)

Values from the calculation:
- Density of states at the Fermi level: 0.1406 states/eV/atom
- Relative energy among the computed polymorphs: 0.111 eV per atom
- E_form: 0.72 eV per atom
- Total energy: -44.54 eV/cell
- V: 89.1 Å³/f.u.
- SG: Fm-3m
- Density: 7.5 Mg/m³